[1]
The following is a DFT calculation (PBE-GGA) of a geometry-optimized YGaCo structure.

CIF file:
```
data_YGaCo
_chemical_formula_sum 'Y1 Ga1 Co1'
_space_group_name_H-M_alt 'P 1'
_space_group_IT_number 1
_cell_length_a 4.216
_cell_length_b 4.216
_cell_length_c 3.659
_cell_angle_alpha 90.00
_cell_angle_beta 90.00
_cell_angle_gamma 120.00
loop_
_space_group_symop_operation_xyz
'x,y,z'
loop_
_atom_site_label
_atom_site_type_symbol
_atom_site_fract_x
_atom_site_fract_y
_atom_site_fract_z
Y1 Y 0.000 0.000 0.000
Ga1 Ga 0.333 0.667 0.500
Co1 Co 0.667 0.333 0.500
```

Computed properties:
Formation energy ... -0.415 eV per atom
Space group ... P-6m2
M_tot ... 0.7 μB/f.u.
E ... -17.84 eV/f.u.

[2]
The following is a DFT calculation (PBE-GGA) of a geometry-optimized Y7Ga2Co2 structure.

CIF file:
```
data_Y7Ga2Co2
_chemical_formula_sum 'Y7 Ga2 Co2'
_space_group_name_H-M_alt 'P 1'
_space_group_IT_number 1
_cell_length_a 6.667
_cell_length_b 6.667
_cell_length_c 6.831
_cell_angle_alpha 90.00
_cell_angle_beta 90.00
_cell_angle_gamma 110.21
loop_
_space_group_symop_operation_xyz
'x,y,z'
loop_
_atom_site_label
_atom_site_type_symbol
_atom_site_fract_x
_atom_site_fract_y
_atom_site_fract_z
Y1 Y 0.000 0.000 0.000
Y2 Y 0.000 0.500 0.252
Y3 Y 0.000 0.500 0.748
Y4 Y 0.500 0.000 0.252
Y5 Y 0.500 0.000 0.748
Y6 Y 0.500 0.500 0.246
Y7 Y 0.500 0.500 0.754
Ga1 Ga 0.167 0.167 0.500
Ga2 Ga 0.833 0.833 0.500
Co1 Co 0.295 0.705 0.000
Co2 Co 0.705 0.295 0.000
```

Computed properties:
Formation energy ... -0.202 eV per atom
Space group ... Cmmm
M_tot ... 0.0 μB/f.u.
E ... -67.74 eV/f.u.

[3]
The following is a DFT calculation (PBE-GGA) of a geometry-optimized Y10Ga3Co7 structure.

CIF file:
```
data_Y10Ga3Co7
_chemical_formula_sum 'Y20 Ga6 Co14'
_space_group_name_H-M_alt 'P 1'
_space_group_IT_number 1
_cell_length_a 3.905
_cell_length_b 9.578
_cell_length_c 23.090
_cell_angle_alpha 90.00
_cell_angle_beta 90.00
_cell_angle_gamma 90.00
loop_
_space_group_symop_operation_xyz
'x,y,z'
loop_
_atom_site_label
_atom_site_type_symbol
_atom_site_fract_x
_atom_site_fract_y
_atom_site_fract_z
Y1 Y 0.000 0.000 0.000
Y2 Y 0.000 0.000 0.500
Y3 Y 0.000 0.164 0.141
Y4 Y 0.000 0.187 0.856
Y5 Y 0.000 0.369 0.009
Y6 Y 0.000 0.394 0.677
Y7 Y 0.000 0.606 0.177
Y8 Y 0.000 0.631 0.509
Y9 Y 0.000 0.813 0.356
Y10 Y 0.000 0.836 0.641
Y11 Y 0.500 0.099 0.718
Y12 Y 0.500 0.134 0.379
Y13 Y 0.500 0.302 0.552
Y14 Y 0.500 0.346 0.252
Y15 Y 0.500 0.486 0.891
Y16 Y 0.500 0.514 0.391
Y17 Y 0.500 0.654 0.752
Y18 Y 0.500 0.698 0.052
Y19 Y 0.500 0.866 0.879
Y20 Y 0.500 0.901 0.218
Ga1 Ga 0.000 0.103 0.278
Ga2 Ga 0.000 0.314 0.452
Ga3 Ga 0.000 0.686 0.952
Ga4 Ga 0.000 0.897 0.778
Ga5 Ga 0.500 0.406 0.114
Ga6 Ga 0.500 0.594 0.614
Co1 Co 0.000 0.134 0.620
Co2 Co 0.000 0.323 0.342
Co3 Co 0.000 0.452 0.799
Co4 Co 0.000 0.548 0.299
Co5 Co 0.000 0.677 0.842
Co6 Co 0.000 0.866 0.120
Co7 Co 0.500 0.033 0.596
Co8 Co 0.500 0.186 0.051
Co9 Co 0.500 0.193 0.949
Co10 Co 0.500 0.357 0.777
Co11 Co 0.500 0.643 0.277
Co12 Co 0.500 0.807 0.449
Co13 Co 0.500 0.814 0.551
Co14 Co 0.500 0.967 0.096
```

Computed properties:
Formation energy ... -0.350 eV per atom
Space group ... Pmc2_1
M_tot ... 2.7 μB/f.u.
E ... -130.46 eV/f.u.

[4]
The following is a DFT calculation (PBE-GGA) of a geometry-optimized YGa3Co3 structure.

CIF file:
```
data_YGa3Co3
_chemical_formula_sum 'Y2 Ga6 Co6'
_space_group_name_H-M_alt 'P 1'
_space_group_IT_number 1
_cell_length_a 6.383
_cell_length_b 6.383
_cell_length_c 6.383
_cell_angle_alpha 90.00
_cell_angle_beta 90.00
_cell_angle_gamma 90.00
loop_
_space_group_symop_operation_xyz
'x,y,z'
loop_
_atom_site_label
_atom_site_type_symbol
_atom_site_fract_x
_atom_site_fract_y
_atom_site_fract_z
Y1 Y 0.000 0.000 0.000
Y2 Y 0.500 0.500 0.500
Ga1 Ga 0.000 0.250 0.500
Ga2 Ga 0.000 0.750 0.500
Ga3 Ga 0.250 0.500 0.000
Ga4 Ga 0.500 0.000 0.250
Ga5 Ga 0.500 0.000 0.750
Ga6 Ga 0.750 0.500 0.000
Co1 Co 0.000 0.500 0.250
Co2 Co 0.000 0.500 0.750
Co3 Co 0.250 0.000 0.500
Co4 Co 0.500 0.250 0.000
Co5 Co 0.500 0.750 0.000
Co6 Co 0.750 0.000 0.500
```

Computed properties:
Formation energy ... 0.199 eV per atom
Energy above the lowest structure with this stoichiometry ... 380 meV/atom
Space group ... Pm-3n
M_tot ... 0.0 μB/f.u.
E ... -35.47 eV/f.u.

[5]
The following is a DFT calculation (PBE-GGA) of a geometry-optimized Y2Ga4Co3 structure.

CIF file:
```
data_Y2Ga4Co3
_chemical_formula_sum 'Y2 Ga4 Co3'
_space_group_name_H-M_alt 'P 1'
_space_group_IT_number 1
_cell_length_a 7.745
_cell_length_b 6.783
_cell_length_c 5.267
_cell_angle_alpha 78.89
_cell_angle_beta 59.25
_cell_angle_gamma 41.86
loop_
_space_group_symop_operation_xyz
'x,y,z'
loop_
_atom_site_label
_atom_site_type_symbol
_atom_site_fract_x
_atom_site_fract_y
_atom_site_fract_z
Y1 Y 0.126 0.126 0.874
Y2 Y 0.874 0.874 0.126
Ga1 Ga 0.175 0.517 0.483
Ga2 Ga 0.483 0.825 0.175
Ga3 Ga 0.517 0.175 0.825
Ga4 Ga 0.825 0.483 0.517
Co1 Co 0.000 0.000 0.500
Co2 Co 0.500 0.500 0.000
Co3 Co 0.500 0.500 0.500
```

Computed properties:
Formation energy ... -0.412 eV per atom
Space group ... Fmmm
M_tot ... 0.0 μB/f.u.
E ... -50.07 eV/f.u.

[6]
The following is a DFT calculation (PBE-GGA) of a geometry-optimized YGa2Co structure.

CIF file:
```
data_YGa2Co
_chemical_formula_sum 'Y4 Ga8 Co4'
_space_group_name_H-M_alt 'P 1'
_space_group_IT_number 1
_cell_length_a 7.423
_cell_length_b 6.740
_cell_length_c 5.548
_cell_angle_alpha 90.00
_cell_angle_beta 90.00
_cell_angle_gamma 90.00
loop_
_space_group_symop_operation_xyz
'x,y,z'
loop_
_atom_site_label
_atom_site_type_symbol
_atom_site_fract_x
_atom_site_fract_y
_atom_site_fract_z
Y1 Y 0.039 0.250 0.112
Y2 Y 0.461 0.750 0.612
Y3 Y 0.539 0.250 0.388
Y4 Y 0.961 0.750 0.888
Ga1 Ga 0.169 0.055 0.603
Ga2 Ga 0.169 0.445 0.603
Ga3 Ga 0.331 0.555 0.103
Ga4 Ga 0.331 0.945 0.103
Ga5 Ga 0.669 0.055 0.897
Ga6 Ga 0.669 0.445 0.897
Ga7 Ga 0.831 0.555 0.397
Ga8 Ga 0.831 0.945 0.397
Co1 Co 0.119 0.750 0.361
Co2 Co 0.381 0.250 0.861
Co3 Co 0.619 0.750 0.139
Co4 Co 0.881 0.250 0.639
```

Computed properties:
Formation energy ... -0.521 eV per atom
Space group ... Pnma
M_tot ... 0.0 μB/f.u.
E ... -21.71 eV/f.u.

[7]
The following is a DFT calculation (PBE-GGA) of a geometry-optimized Y2Ga5Co3 structure.

CIF file:
```
data_Y2Ga5Co3
_chemical_formula_sum 'Y4 Ga10 Co6'
_space_group_name_H-M_alt 'P 1'
_space_group_IT_number 1
_cell_length_a 8.327
_cell_length_b 8.327
_cell_length_c 8.327
_cell_angle_alpha 109.43
_cell_angle_beta 83.50
_cell_angle_gamma 141.31
loop_
_space_group_symop_operation_xyz
'x,y,z'
loop_
_atom_site_label
_atom_site_type_symbol
_atom_site_fract_x
_atom_site_fract_y
_atom_site_fract_z
Y1 Y 0.144 0.224 0.368
Y2 Y 0.356 0.724 0.080
Y3 Y 0.644 0.276 0.920
Y4 Y 0.856 0.776 0.632
Ga1 Ga 0.046 0.750 0.296
Ga2 Ga 0.084 0.680 0.764
Ga3 Ga 0.250 0.250 0.000
Ga4 Ga 0.416 0.180 0.596
Ga5 Ga 0.454 0.750 0.704
Ga6 Ga 0.546 0.250 0.296
Ga7 Ga 0.584 0.820 0.404
Ga8 Ga 0.750 0.750 0.000
Ga9 Ga 0.916 0.320 0.236
Ga10 Ga 0.954 0.250 0.704
Co1 Co 0.150 0.915 0.065
Co2 Co 0.250 0.750 0.500
Co3 Co 0.350 0.415 0.766
Co4 Co 0.650 0.585 0.234
Co5 Co 0.750 0.250 0.500
Co6 Co 0.850 0.085 0.935
```

Computed properties:
Formation energy ... -0.508 eV per atom
Space group ... Ibam
M_tot ... 0.0 μB/f.u.
E ... -54.46 eV/f.u.

[8]
The following is a DFT calculation (PBE-GGA) of a geometry-optimized YGa2Co structure.

CIF file:
```
data_YGa2Co
_chemical_formula_sum 'Y8 Ga16 Co8'
_space_group_name_H-M_alt 'P 1'
_space_group_IT_number 1
_cell_length_a 14.633
_cell_length_b 6.825
_cell_length_c 5.573
_cell_angle_alpha 90.00
_cell_angle_beta 90.00
_cell_angle_gamma 90.00
loop_
_space_group_symop_operation_xyz
'x,y,z'
loop_
_atom_site_label
_atom_site_type_symbol
_atom_site_fract_x
_atom_site_fract_y
_atom_site_fract_z
Y1 Y 0.102 0.250 0.243
Y2 Y 0.138 0.750 0.470
Y3 Y 0.362 0.250 0.970
Y4 Y 0.398 0.750 0.743
Y5 Y 0.602 0.250 0.257
Y6 Y 0.638 0.750 0.030
Y7 Y 0.862 0.250 0.530
Y8 Y 0.898 0.750 0.757
Ga1 Ga 0.042 0.058 0.758
Ga2 Ga 0.042 0.442 0.758
Ga3 Ga 0.212 0.550 0.952
Ga4 Ga 0.212 0.950 0.952
Ga5 Ga 0.288 0.050 0.452
Ga6 Ga 0.288 0.450 0.452
Ga7 Ga 0.458 0.558 0.258
Ga8 Ga 0.458 0.942 0.258
Ga9 Ga 0.542 0.058 0.742
Ga10 Ga 0.542 0.442 0.742
Ga11 Ga 0.712 0.550 0.548
Ga12 Ga 0.712 0.950 0.548
Ga13 Ga 0.788 0.050 0.048
Ga14 Ga 0.788 0.450 0.048
Ga15 Ga 0.958 0.558 0.242
Ga16 Ga 0.958 0.942 0.242
Co1 Co 0.071 0.750 0.994
Co2 Co 0.190 0.250 0.713
Co3 Co 0.310 0.750 0.213
Co4 Co 0.429 0.250 0.494
Co5 Co 0.571 0.750 0.506
Co6 Co 0.690 0.250 0.787
Co7 Co 0.810 0.750 0.287
Co8 Co 0.929 0.250 0.006
```

Computed properties:
Formation energy ... -0.536 eV per atom
Space group ... Pnma
M_tot ... 0.0 μB/f.u.
E ... -21.77 eV/f.u.

[9]
The following is a DFT calculation (PBE-GGA) of a geometry-optimized YGaCo3 structure.

CIF file:
```
data_YGaCo3
_chemical_formula_sum 'Y1 Ga1 Co3'
_space_group_name_H-M_alt 'P 1'
_space_group_IT_number 1
_cell_length_a 4.668
_cell_length_b 4.668
_cell_length_c 4.668
_cell_angle_alpha 90.00
_cell_angle_beta 90.00
_cell_angle_gamma 90.00
loop_
_space_group_symop_operation_xyz
'x,y,z'
loop_
_atom_site_label
_atom_site_type_symbol
_atom_site_fract_x
_atom_site_fract_y
_atom_site_fract_z
Y1 Y 0.000 0.000 0.000
Ga1 Ga 0.500 0.500 0.500
Co1 Co 0.000 0.000 0.500
Co2 Co 0.000 0.500 0.000
Co3 Co 0.500 0.000 0.000
```

Computed properties:
Formation energy ... 1.630 eV per atom
Energy above the lowest structure with this stoichiometry ... 1294 meV/atom
Space group ... Pm-3m
M_tot ... 2.7 μB/f.u.
E ... -22.66 eV/f.u.

[10]
The following is a DFT calculation (PBE-GGA) of a geometry-optimized YGa3Co structure.

CIF file:
```
data_YGa3Co
_chemical_formula_sum 'Y1 Ga3 Co1'
_space_group_name_H-M_alt 'P 1'
_space_group_IT_number 1
_cell_length_a 4.535
_cell_length_b 4.535
_cell_length_c 4.535
_cell_angle_alpha 90.00
_cell_angle_beta 90.00
_cell_angle_gamma 90.00
loop_
_space_group_symop_operation_xyz
'x,y,z'
loop_
_atom_site_label
_atom_site_type_symbol
_atom_site_fract_x
_atom_site_fract_y
_atom_site_fract_z
Y1 Y 0.000 0.000 0.000
Ga1 Ga 0.000 0.500 0.500
Ga2 Ga 0.500 0.000 0.500
Ga3 Ga 0.500 0.500 0.000
Co1 Co 0.500 0.500 0.500
```

Computed properties:
Formation energy ... -0.350 eV per atom
Energy above the lowest structure with this stoichiometry ... 179 meV/atom
Space group ... Pm-3m
M_tot ... 0.0 μB/f.u.
E ... -24.40 eV/f.u.

[11]
The following is a DFT calculation (PBE-GGA) of a geometry-optimized Y3Ga3Co2 structure.

CIF file:
```
data_Y3Ga3Co2
_chemical_formula_sum 'Y6 Ga6 Co4'
_space_group_name_H-M_alt 'P 1'
_space_group_IT_number 1
_cell_length_a 5.692
_cell_length_b 5.692
_cell_length_c 14.147
_cell_angle_alpha 90.00
_cell_angle_beta 90.00
_cell_angle_gamma 136.81
loop_
_space_group_symop_operation_xyz
'x,y,z'
loop_
_atom_site_label
_atom_site_type_symbol
_atom_site_fract_x
_atom_site_fract_y
_atom_site_fract_z
Y1 Y 0.085 0.915 0.608
Y2 Y 0.085 0.915 0.892
Y3 Y 0.365 0.635 0.750
Y4 Y 0.635 0.365 0.250
Y5 Y 0.915 0.085 0.108
Y6 Y 0.915 0.085 0.392
Ga1 Ga 0.332 0.668 0.250
Ga2 Ga 0.375 0.625 0.541
Ga3 Ga 0.375 0.625 0.959
Ga4 Ga 0.625 0.375 0.041
Ga5 Ga 0.625 0.375 0.459
Ga6 Ga 0.668 0.332 0.750
Co1 Co 0.215 0.785 0.090
Co2 Co 0.215 0.785 0.410
Co3 Co 0.785 0.215 0.590
Co4 Co 0.785 0.215 0.910
```

Computed properties:
Formation energy ... -0.522 eV per atom
Space group ... Cmcm
M_tot ... 0.0 μB/f.u.
E ... -46.86 eV/f.u.

[12]
The following is a DFT calculation (PBE-GGA) of a geometry-optimized YGa8Co2 structure.

CIF file:
```
data_YGa8Co2
_chemical_formula_sum 'Y1 Ga8 Co2'
_space_group_name_H-M_alt 'P 1'
_space_group_IT_number 1
_cell_length_a 5.662
_cell_length_b 5.662
_cell_length_c 7.313
_cell_angle_alpha 90.00
_cell_angle_beta 90.00
_cell_angle_gamma 90.00
loop_
_space_group_symop_operation_xyz
'x,y,z'
loop_
_atom_site_label
_atom_site_type_symbol
_atom_site_fract_x
_atom_site_fract_y
_atom_site_fract_z
Y1 Y 0.000 0.000 0.000
Ga1 Ga 0.255 0.255 0.309
Ga2 Ga 0.255 0.255 0.691
Ga3 Ga 0.255 0.745 0.309
Ga4 Ga 0.255 0.745 0.691
Ga5 Ga 0.745 0.255 0.309
Ga6 Ga 0.745 0.255 0.691
Ga7 Ga 0.745 0.745 0.309
Ga8 Ga 0.745 0.745 0.691
Co1 Co 0.000 0.500 0.500
Co2 Co 0.500 0.000 0.500
```

Computed properties:
Formation energy ... 0.016 eV per atom
Space group ... P4/mmm
M_tot ... 0.0 μB/f.u.
E ... -44.72 eV/f.u.